1.
Entry from the Alexandria database: a geometry-optimized PuMg2ZnHg4 structure (PBE).

Cell: 9.2754 9.2754 9.2754 Å, 30.54 30.54 30.54°
Last column: nearest neighbours and their distance in Å.
Atoms (fractional coordinates):
Pu (0.0000, 0.0000, 0.0000)  8 Hg 3.14-3.35
Mg (0.2449, 0.2449, 0.2449)  7 Hg 2.98-3.14
Mg (0.7551, 0.7551, 0.7551)  7 Hg 2.98-3.14
Zn (0.5000, 0.5000, 0.5000)  8 Hg 3.02-3.04
Hg (0.1264, 0.1264, 0.1264)  4 Mg 2.99-3.14, 3 Zn 3.02, 1 Pu 3.35
Hg (0.3854, 0.3854, 0.3854)  3 Mg 2.98, 1 Zn 3.04, 3 Pu 3.14
Hg (0.6146, 0.6146, 0.6146)  3 Mg 2.98, 1 Zn 3.04, 3 Pu 3.14
Hg (0.8736, 0.8736, 0.8736)  4 Mg 2.99-3.14, 3 Zn 3.02, 1 Pu 3.35

Final energy in eV/atom: -2.611

***

2.
Entry from the Alexandria database: a geometry-optimized ThGa6Cu4 structure (PBE).

Cell: 7.1433 7.1433 4.0644 Å, 90.00 90.00 120.00°
Last column: nearest neighbours and their distance in Å.
Atoms (fractional coordinates):
Th (0.0000, 0.0000, 0.0000)  6 Ga 3.19, 6 Cu 3.28
Ga (0.1985, 0.3970, 0.5000)  4 Cu 2.52-2.63
Ga (0.1985, 0.8015, 0.5000)  4 Cu 2.52-2.63
Ga (0.5352, 0.0704, 0.0000)  5 Cu 2.50-2.58
Ga (0.5352, 0.4648, 0.0000)  5 Cu 2.50-2.58
Ga (0.6030, 0.8015, 0.5000)  4 Cu 2.52-2.63
Ga (0.9296, 0.4648, 0.0000)  5 Cu 2.50-2.58
Cu (0.3333, 0.6667, 0.0000)  9 Ga 2.50-2.63
Cu (0.4168, 0.2084, 0.5000)  6 Ga 2.52-2.58, 2 Cu 2.68
Cu (0.7916, 0.2084, 0.5000)  6 Ga 2.52-2.58, 2 Cu 2.68
Cu (0.7916, 0.5832, 0.5000)  6 Ga 2.52-2.58, 2 Cu 2.68

Final energy in eV/atom: -4.053

***

3.
Entry from the Alexandria database: a geometry-optimized LaCo2Pb structure (PBE).

Cell: 4.0517 4.2886 9.5156 Å, 90.00 90.00 90.00°
Last column: nearest neighbours and their distance in Å.
Atoms (fractional coordinates):
La (0.0000, 0.0000, 0.0000)  3 Co 2.76-2.93
La (0.0000, 0.5000, 0.5000)  3 Co 2.76-2.93
Co (0.0000, 0.0000, 0.7099)  2 Co 2.28
Co (0.0000, 0.5000, 0.2099)  2 Co 2.28
Co (0.5000, 0.0000, 0.5988)  2 Co 2.28
Co (0.5000, 0.5000, 0.0988)  2 Co 2.28
Pb (0.5000, 0.0000, 0.2956)  7 Co 2.85-3.06
Pb (0.5000, 0.5000, 0.7956)  7 Co 2.85-3.06

Final energy in eV/atom: -5.737

***

4.
Entry from the Alexandria database: a geometry-optimized LiP2Ir structure (PBE).

Cell: 3.8906 3.8906 12.8863 Å, 90.00 90.00 120.00°
Last column: nearest neighbours and their distance in Å.
Atoms (fractional coordinates):
Li (0.0000, 0.0000, 0.0000)  6 P 2.39-2.68, 1 Ir 2.51
Li (0.3333, 0.6667, 0.6667)  6 P 2.39-2.68, 1 Ir 2.51
Li (0.6667, 0.3333, 0.3333)  6 P 2.39-2.68, 1 Ir 2.51
P (0.0000, 0.0000, 0.6023)  1 P 2.29, 3 Li 2.39, 3 Ir 2.44
P (0.0000, 0.0000, 0.7798)  1 P 2.29, 3 Ir 2.48
P (0.3333, 0.6667, 0.2689)  1 P 2.29, 3 Li 2.39, 3 Ir 2.44
P (0.3333, 0.6667, 0.4465)  1 P 2.29, 3 Ir 2.48
P (0.6667, 0.3333, 0.1131)  1 P 2.29, 3 Ir 2.48
P (0.6667, 0.3333, 0.9356)  1 P 2.29, 3 Li 2.39, 3 Ir 2.44
Ir (0.0000, 0.0000, 0.1946)  6 P 2.44-2.48, 1 Li 2.51
Ir (0.3333, 0.6667, 0.8613)  6 P 2.44-2.48, 1 Li 2.51
Ir (0.6667, 0.3333, 0.5280)  6 P 2.44-2.48, 1 Li 2.51

Energy above the most stable polymorph in this dataset in meV/atom: 0

***

5.
Entry from the Alexandria database: a geometry-optimized Ga2NiOs structure (PBE).

Cell: 5.9966 5.9966 5.9966 Å, 90.00 90.00 90.00°
Last column: nearest neighbours and their distance in Å.
Atoms (fractional coordinates):
Ga (0.2500, 0.2500, 0.2500)  4 Os 2.60, 4 Ni 2.60
Ga (0.2500, 0.2500, 0.7500)  4 Os 2.60, 4 Ni 2.60
Ga (0.2500, 0.7500, 0.2500)  4 Os 2.60, 4 Ni 2.60
Ga (0.2500, 0.7500, 0.7500)  4 Os 2.60, 4 Ni 2.60
Ga (0.7500, 0.2500, 0.2500)  4 Os 2.60, 4 Ni 2.60
Ga (0.7500, 0.2500, 0.7500)  4 Os 2.60, 4 Ni 2.60
Ga (0.7500, 0.7500, 0.2500)  4 Os 2.60, 4 Ni 2.60
Ga (0.7500, 0.7500, 0.7500)  4 Ni 2.60, 4 Os 2.60
Ni (0.0000, 0.0000, 0.0000)  8 Ga 2.60
Ni (0.0000, 0.5000, 0.5000)  8 Ga 2.60
Ni (0.5000, 0.0000, 0.5000)  8 Ga 2.60
Ni (0.5000, 0.5000, 0.0000)  8 Ga 2.60
Os (0.0000, 0.0000, 0.5000)  8 Ga 2.60
Os (0.0000, 0.5000, 0.0000)  8 Ga 2.60
Os (0.5000, 0.0000, 0.0000)  8 Ga 2.60
Os (0.5000, 0.5000, 0.5000)  8 Ga 2.60

Energy above the most stable polymorph in this dataset in meV/atom: 40

***

6.
Entry from the Alexandria database: a geometry-optimized LiTiTl2Te4 structure (PBE).

Cell: 6.7510 6.7510 13.6477 Å, 90.00 90.00 90.00°
Last column: nearest neighbours and their distance in Å.
Atoms (fractional coordinates):
Li (0.0000, 0.0000, 0.0000)  4 Te 2.80
Li (0.5000, 0.5000, 0.5000)  4 Te 2.80
Ti (0.0000, 0.5000, 0.2500)  4 Te 2.61
Ti (0.5000, 0.0000, 0.7500)  4 Te 2.61
Tl (0.0000, 0.0000, 0.5000)  4 Te 3.24
Tl (0.0000, 0.5000, 0.7500)  4 Te 3.18
Tl (0.5000, 0.0000, 0.2500)  4 Te 3.18
Tl (0.5000, 0.5000, 0.0000)  4 Te 3.24
Te (0.1848, 0.7431, 0.1322)  1 Ti 2.61, 1 Li 2.80
Te (0.2431, 0.3152, 0.3678)  1 Ti 2.61, 1 Li 2.80
Te (0.2569, 0.1848, 0.8678)  1 Ti 2.61, 1 Li 2.80
Te (0.3152, 0.7569, 0.6322)  1 Ti 2.61, 1 Li 2.80
Te (0.6848, 0.2431, 0.6322)  1 Ti 2.61, 1 Li 2.80
Te (0.7431, 0.8152, 0.8678)  1 Ti 2.61, 1 Li 2.80
Te (0.7569, 0.6848, 0.3678)  1 Ti 2.61, 1 Li 2.80
Te (0.8152, 0.2569, 0.1322)  1 Ti 2.61, 1 Li 2.80

ΔE_f (raw) in eV/f.u.: -3.63

***

7.
Entry from the Alexandria database: a geometry-optimized ErTiOsPd structure (PBE).

Cell: 6.5476 6.5476 6.5476 Å, 90.00 90.00 90.00°
Last column: nearest neighbours and their distance in Å.
Atoms (fractional coordinates):
Er (0.0000, 0.0000, 0.0000)  4 Os 2.84, 4 Pd 2.84
Er (0.0000, 0.5000, 0.5000)  4 Os 2.84, 4 Pd 2.84
Er (0.5000, 0.0000, 0.5000)  4 Os 2.84, 4 Pd 2.84
Er (0.5000, 0.5000, 0.0000)  4 Os 2.84, 4 Pd 2.84
Ti (0.0000, 0.0000, 0.5000)  4 Os 2.84, 4 Pd 2.84
Ti (0.0000, 0.5000, 0.0000)  4 Os 2.84, 4 Pd 2.84
Ti (0.5000, 0.0000, 0.0000)  4 Os 2.84, 4 Pd 2.84
Ti (0.5000, 0.5000, 0.5000)  4 Os 2.84, 4 Pd 2.84
Os (0.2500, 0.2500, 0.2500)  4 Er 2.84, 4 Ti 2.84
Os (0.2500, 0.7500, 0.7500)  4 Er 2.84, 4 Ti 2.84
Os (0.7500, 0.2500, 0.7500)  4 Er 2.84, 4 Ti 2.84
Os (0.7500, 0.7500, 0.2500)  4 Er 2.84, 4 Ti 2.84
Pd (0.2500, 0.2500, 0.7500)  4 Er 2.84, 4 Ti 2.84
Pd (0.2500, 0.7500, 0.2500)  4 Er 2.84, 4 Ti 2.84
Pd (0.7500, 0.2500, 0.2500)  4 Er 2.84, 4 Ti 2.84
Pd (0.7500, 0.7500, 0.7500)  4 Er 2.84, 4 Ti 2.84

Final energy in eV/atom: -7.696

***

8.
Entry from the Alexandria database: a geometry-optimized GaPd2 structure (PBE).

Cell: 3.0061 3.0061 9.9548 Å, 90.00 90.00 90.00°
Last column: nearest neighbours and their distance in Å.
Atoms (fractional coordinates):
Ga (0.0000, 0.0000, 0.0000)  8 Pd 2.61
Ga (0.5000, 0.5000, 0.5000)  8 Pd 2.61
Pd (0.0000, 0.0000, 0.3484)  4 Ga 2.61, 4 Pd 2.89
Pd (0.0000, 0.0000, 0.6516)  4 Ga 2.61, 4 Pd 2.89
Pd (0.5000, 0.5000, 0.1516)  4 Ga 2.61, 4 Pd 2.89
Pd (0.5000, 0.5000, 0.8484)  4 Ga 2.61, 4 Pd 2.89

Final energy in eV/atom: -5.031

***

9.
Entry from the Alexandria database: a geometry-optimized Ag2AsP structure (PBE).

Cell: 8.4969 3.5351 4.9852 Å, 90.00 104.99 90.00°
Last column: nearest neighbours and their distance in Å.
Atoms (fractional coordinates):
Ag (0.2463, 0.0000, 0.2374)  3 P 2.71-2.76, 3 As 2.74-2.83, 2 Ag 2.97
Ag (0.2537, 0.5000, 0.7626)  3 P 2.71-2.76, 3 As 2.74-2.83, 2 Ag 2.97
Ag (0.7463, 0.5000, 0.2374)  3 P 2.71-2.76, 3 As 2.74-2.83, 2 Ag 2.97
Ag (0.7537, 0.0000, 0.7626)  3 P 2.71-2.76, 3 As 2.74-2.83, 2 Ag 2.97
As (0.0000, 0.0000, 0.5000)  6 Ag 2.74-2.83, 4 P 3.06
As (0.5000, 0.5000, 0.5000)  6 Ag 2.74-2.83, 4 P 3.06
P (0.0000, 0.5000, 0.0000)  6 Ag 2.71-2.76
P (0.5000, 0.0000, 0.0000)  6 Ag 2.71-2.76

Energy above the most stable polymorph in this dataset in meV/atom: 140

***

10.
Entry from the Alexandria database: a geometry-optimized Ac3SmSn3 structure (PBE).

Cell: 8.3479 8.3479 8.6007 Å, 92.25 92.25 113.50°
Last column: nearest neighbours and their distance in Å.
Atoms (fractional coordinates):
Ac (0.1625, 0.8375, 0.0000)  6 Sn 3.27-3.50
Ac (0.2298, 0.7702, 0.5000)  6 Sn 3.44-3.82
Ac (0.3846, 0.3846, 0.1508)  1 Sn 3.23, 1 Ac 3.46
Ac (0.6154, 0.6154, 0.8492)  1 Sn 3.23, 1 Ac 3.46
Ac (0.7702, 0.2298, 0.5000)  6 Sn 3.44-3.82
Ac (0.8375, 0.1625, 0.0000)  6 Sn 3.27-3.50
Sm (0.2454, 0.2454, 0.5969)  4 Sn 3.01-3.07
Sm (0.7546, 0.7546, 0.4031)  4 Sn 3.01-3.07
Sn (0.0642, 0.0642, 0.2867)  2 Sm 3.04-3.07, 3 Ac 3.23-3.37
Sn (0.1460, 0.4900, 0.7980)  1 Sm 3.01, 1 Ac 3.27
Sn (0.4900, 0.1460, 0.7980)  1 Sm 3.01, 1 Ac 3.27
Sn (0.5100, 0.8540, 0.2020)  1 Sm 3.01, 1 Ac 3.27
Sn (0.8540, 0.5100, 0.2020)  1 Sm 3.01, 1 Ac 3.27
Sn (0.9358, 0.9358, 0.7133)  2 Sm 3.04-3.07, 3 Ac 3.23-3.37

Final energy in eV/atom: -4.616

***

Number 1: ρ 10.5 Mg/m³. Number 2: ρ 8.4 Mg/m³. Number 3: ρ 9.3 Mg/m³. Number 4: ρ 7.7 Mg/m³. Number 5: ρ 12.0 Mg/m³. Number 6: ρ 5.2 Mg/m³. Number 7: ρ 12.1 Mg/m³. Number 8: ρ 10.4 Mg/m³. Number 9: ρ 7.4 Mg/m³. Number 10: ρ 7.2 Mg/m³.